Model P:
# Zr2ZnI2, relaxed, DFT PBE
data_Zr2ZnI2
_cell_length_a 8.017
_cell_length_b 8.017
_cell_length_c 3.746
_cell_angle_alpha 90.00
_cell_angle_beta 90.00
_cell_angle_gamma 90.00
_space_group_name_H-M_alt 'P 4/m b m'
_space_group_IT_number 127
_space_group_name_Hall '-P 4 2ab'
loop_
_atom_site_label
_atom_site_fract_x
_atom_site_fract_y
_atom_site_fract_z
Zr1 0.152 0.348 0.000
Zn1 0.000 0.000 0.000
I1 0.146 0.646 0.500
# Mass density: 6.920 g cm⁻³
# Spin magnetization: 0.00 μB per cell

Model Q:
# Zr2ZnI2, relaxed, DFT PBE
data_Zr2ZnI2
_cell_length_a 4.974
_cell_length_b 4.974
_cell_length_c 12.115
_cell_angle_alpha 90.00
_cell_angle_beta 90.00
_cell_angle_gamma 90.00
_space_group_name_H-M_alt 'I 4/m m m'
_space_group_IT_number 139
_space_group_name_Hall '-I 4 2'
loop_
_atom_site_label
_atom_site_fract_x
_atom_site_fract_y
_atom_site_fract_z
Zr1 0.000 0.000 0.114
Zn1 0.000 0.000 0.500
I1 0.000 0.500 0.250
# Mass density: 5.559 g cm⁻³
# Spin magnetization: 0.00 μB per cell

How far above the most stable structure does each one sit? In eV/atom: model P 0.000; model Q 0.269.